## Mg8CdPd5 (GGA-PBE)

Data for a relaxed Mg8CdPd5 crystal.

```
14
Lattice="6.957 -0.028 0.049 -2.380 6.537 -0.049 -2.196 -3.319 5.706" Properties=species:S:1:pos:R:3 pbc="T T T"
Mg 4.821 -1.814 3.966
Mg 1.628 -0.441 5.189
Mg 1.547 3.071 1.478
Mg 0.168 3.169 4.893
Mg -2.210 3.269 2.758
Mg -0.958 4.697 0.336
Mg 0.729 0.326 2.217
Mg 3.795 0.479 1.988
Pd -0.139 -2.549 5.515
Pd -0.898 1.863 0.764
Pd 2.410 1.937 3.891
Pd 2.380 -1.674 2.877
Pd 3.388 5.127 1.242
Cd -1.098 0.772 4.267
```

Values from the calculation:
* energy of formation: -0.4459 eV/atom
* VASP energy: -45.878 eV/f.u.
* space-group type: I-4 (82)
* calculated volume: 18.50 A^3/atom